1.
Nd8Cd | PBE | relaxed

POSCAR file:
```
Nd8Cd
1.0
-6.331 6.331 1.893
6.331 -6.331 1.893
6.331 6.331 -1.893
Nd Cd
8 1
direct
0.000 0.334 0.334
0.000 0.666 0.666
0.334 0.000 0.334
0.344 0.344 0.688
0.344 0.656 0.000
0.656 0.344 0.000
0.656 0.656 0.312
0.666 0.000 0.666
0.000 0.000 0.000
```

- offset from the most stable computed form (eV per atom) = 0.013
- energy relative to the elements (eV per atom) = 0.0070
- SG = No. 139
- magnetization (Bohr magnetons per cell) = 0.00

=====

2.
Nd5Cd | PBE | relaxed

POSCAR file:
```
Nd5Cd
1.0
2.500 -7.775 0.000
2.500 7.775 0.000
0.000 0.000 5.048
Nd Cd
5 1
direct
0.000 0.000 0.000
0.163 0.837 0.500
0.334 0.666 0.000
0.666 0.334 0.000
0.837 0.163 0.500
0.500 0.500 0.500
```

- offset from the most stable computed form (eV per atom) = 0.044
- energy relative to the elements (eV per atom) = -0.0536
- SG = No. 65
- magnetization (Bohr magnetons per cell) = 0.00

=====

3.
Nd8Cd | PBE | relaxed

POSCAR file:
```
Nd8Cd
1.0
2.871 -6.019 0.000
2.871 6.019 0.000
-2.852 0.000 8.834
Nd Cd
8 1
direct
0.147 0.853 0.000
0.179 0.179 0.365
0.189 0.516 0.700
0.484 0.811 0.300
0.516 0.189 0.700
0.811 0.484 0.300
0.821 0.821 0.635
0.853 0.147 0.000
0.500 0.500 0.000
```

- offset from the most stable computed form (eV per atom) = 0.000
- energy relative to the elements (eV per atom) = -0.0058
- SG = No. 12
- magnetization (Bohr magnetons per cell) = 0.00

=====

4.
NdCd11 | PBE | relaxed

POSCAR file:
```
NdCd11
1.0
-5.977 5.977 3.891
5.977 -5.977 3.891
5.977 5.977 -3.891
Nd Cd
2 22
direct
0.375 0.625 0.750
0.625 0.375 0.250
0.000 0.000 0.000
0.000 0.000 0.500
0.000 0.500 0.000
0.121 0.549 0.332
0.121 0.790 0.572
0.125 0.875 0.250
0.210 0.282 0.332
0.210 0.879 0.928
0.282 0.210 0.832
0.282 0.451 0.072
0.451 0.282 0.572
0.451 0.879 0.168
0.500 0.000 0.500
0.549 0.121 0.832
0.549 0.718 0.428
0.718 0.549 0.928
0.718 0.790 0.168
0.790 0.121 0.072
0.790 0.718 0.668
0.875 0.125 0.750
0.879 0.210 0.428
0.879 0.451 0.668
```

- offset from the most stable computed form (eV per atom) = 0.048
- energy relative to the elements (eV per atom) = -0.0989
- SG = No. 141
- magnetization (Bohr magnetons per cell) = 0.00

=====

5.
Nd2Cd3 | PBE | relaxed

POSCAR file:
```
Nd2Cd3
1.0
1.760 -15.186 0.000
1.760 15.186 0.000
0.000 0.000 5.060
Nd Cd
4 6
direct
0.074 0.926 0.750
0.213 0.787 0.250
0.787 0.213 0.750
0.926 0.074 0.250
0.327 0.673 0.250
0.380 0.620 0.750
0.477 0.523 0.750
0.523 0.477 0.250
0.620 0.380 0.250
0.673 0.327 0.750
```

- offset from the most stable computed form (eV per atom) = 0.000
- energy relative to the elements (eV per atom) = -0.3101
- SG = No. 63
- magnetization (Bohr magnetons per cell) = 0.00

=====

6.
Nd5Cd2 | PBE | relaxed

POSCAR file:
```
Nd5Cd2
1.0
8.156 -4.034 0.000
8.156 4.034 0.000
-0.327 0.000 6.725
Nd Cd
10 4
direct
0.031 0.969 0.750
0.166 0.303 0.700
0.280 0.565 0.477
0.303 0.166 0.200
0.435 0.720 0.023
0.565 0.280 0.977
0.697 0.834 0.800
0.720 0.435 0.523
0.834 0.697 0.300
0.969 0.031 0.250
0.134 0.618 0.990
0.382 0.866 0.510
0.618 0.134 0.490
0.866 0.382 0.010
```

- offset from the most stable computed form (eV per atom) = 0.038
- energy relative to the elements (eV per atom) = -0.1142
- SG = No. 15
- magnetization (Bohr magnetons per cell) = 0.00

=====

7.
NdCd11 | PBE | relaxed

POSCAR file:
```
NdCd11
1.0
9.418 0.000 0.000
0.000 9.418 0.000
0.000 0.000 9.418
Nd Cd
3 33
direct
0.000 0.000 0.500
0.000 0.500 0.000
0.500 0.000 0.000
0.000 0.345 0.345
0.000 0.345 0.655
0.000 0.655 0.345
0.000 0.655 0.655
0.156 0.156 0.156
0.156 0.156 0.844
0.156 0.844 0.156
0.156 0.844 0.844
0.266 0.266 0.500
0.266 0.500 0.266
0.266 0.500 0.734
0.266 0.734 0.500
0.345 0.000 0.345
0.345 0.000 0.655
0.345 0.345 0.000
0.345 0.655 0.000
0.500 0.266 0.266
0.500 0.266 0.734
0.500 0.500 0.500
0.500 0.734 0.266
0.500 0.734 0.734
0.655 0.000 0.345
0.655 0.000 0.655
0.655 0.345 0.000
0.655 0.655 0.000
0.734 0.266 0.500
0.734 0.500 0.266
0.734 0.500 0.734
0.734 0.734 0.500
0.844 0.156 0.156
0.844 0.156 0.844
0.844 0.844 0.156
0.844 0.844 0.844
```

- offset from the most stable computed form (eV per atom) = 0.000
- energy relative to the elements (eV per atom) = -0.1464
- SG = No. 221
- magnetization (Bohr magnetons per cell) = 0.00

=====

8.
NdCdNi4 | PBE | relaxed

POSCAR file:
```
NdCdNi4
1.0
0.000 3.568 3.568
3.568 0.000 3.568
3.568 3.568 0.000
Nd Cd Ni
1 1 4
direct
0.000 0.000 0.000
0.250 0.250 0.250
0.129 0.624 0.624
0.624 0.129 0.624
0.624 0.624 0.129
0.624 0.624 0.624
```

- energy relative to the elements (eV per atom) = -0.2853
- SG = No. 216
- magnetization (Bohr magnetons per cell) = 0.00

=====

Let's list DFT total energy in order: -4.33; -4.18; -4.35; -1.34; -2.77; -3.78; -1.38; -5.09 eV per atom.